## ErTm4In (GGA-PBE)

Data for a relaxed ErTm4In crystal.

## Properties
The calculation puts the energy of formation from the pure elements at -0.15 eV/atom. The calculation puts the energy above the lowest structure with this stoichiometry at 0.0 kJ/mol of atoms. The value obtained for the volume is 28.9 Å³ per atom.

a b c (Å): 3.5143 3.5143 14.0288
angles (deg): 90.00 90.00 90.00
Space group P4/mmm (No. 123)
One atom of each set of equivalent atoms:
Er 0.0000 0.0000 0.0000 (multiplicity 1)
Tm 0.0000 0.0000 0.3505 (multiplicity 2)
Tm 0.5000 0.5000 0.1757 (multiplicity 2)
In 0.5000 0.5000 0.5000 (multiplicity 1)